No. 1
Density functional theory data (PBE-GGA) for K2LiCa after structural relaxation.

Lattice parameters (Å, degrees): 5.4520 5.4520 13.1417 90.00 90.00 90.00
Space group I4/mmm (No. 139)
Asymmetric unit:
K 0.0000 0.5000 0.2500
Li 0.0000 0.0000 0.0000
Ca 0.0000 0.0000 0.5000

Computed properties:
Relative energy among the computed polymorphs: 106.6 meV/atom
V: 48.8 Å³ per atom
Total magnetization: 0.00 μB per formula unit
Energy of formation: 0.214 eV per atom
DOS(E_F): 0.80 states/eV per atom
Calculated total energy: -0.09653 Ry per atom


No. 2
Density functional theory data (PBE-GGA) for Er3Sc2In after structural relaxation.

Lattice parameters (Å, degrees): 8.4445 9.1644 8.5774 90.00 101.82 90.00
Space group C2/c (No. 15)
Asymmetric unit:
Er 0.0000 0.0959 0.2500
Er 0.1278 0.2439 0.6300
Sc 0.2324 0.4201 0.0014
In 0.0000 0.4297 0.2500

Computed properties:
V: 27.1 Å³ per atom
Total magnetization: 0.00 μB per formula unit
Energy of formation: -0.119 eV per atom
DOS(E_F): 1.52 states/eV per atom
Calculated total energy: -0.36512 Ry per atom


No. 3
Density functional theory data (PBE-GGA) for SrCr2Br after structural relaxation.

Lattice parameters (Å, degrees): 5.9323 10.5964 3.9436 90.00 90.00 90.00
Space group Cmmm (No. 65)
Asymmetric unit:
Sr 0.0000 0.0000 0.0000
Cr 0.2500 0.2500 0.5000
Br 0.0000 0.5000 0.0000

Computed properties:
Relative energy among the computed polymorphs: 534.6 meV/atom
V: 31.0 Å³ per atom
Total magnetization: 10.14 μB per formula unit
ΔE_f (raw): 0.592 eV/atom
DOS(E_F): 0.84 states/eV per atom
Calculated total energy: -0.37182 Ry per atom